Record 1
A plane-wave DFT calculation with PBE was carried out for a relaxed structure of Sm3Zn8Cd3.

a = 8.505 Å, b = 8.505 Å, c = 8.505 Å
α = 149.17°, β = 114.98°, γ = 73.68°
Fractional positions:
Sm (0.000, 0.000, 0.000)
Sm (0.296, 0.296, 0.000)
Sm (0.704, 0.704, 0.000)
Zn (0.031, 0.666, 0.365)
Zn (0.123, 0.852, 0.271)
Zn (0.301, 0.666, 0.635)
Zn (0.419, 0.148, 0.271)
Zn (0.581, 0.852, 0.729)
Zn (0.699, 0.334, 0.365)
Zn (0.877, 0.148, 0.729)
Zn (0.969, 0.334, 0.635)
Cd (0.294, 0.500, 0.794)
Cd (0.500, 0.000, 0.500)
Cd (0.706, 0.500, 0.206)

Values from the calculation:
SG: Immm, No. 71
Total moment in μB per atom: 0.000
Density in g cm⁻³: 7.743
ΔH_f (0 K) in kJ/mol of formula units: -425


Record 2
A plane-wave DFT calculation with PBE was carried out for a relaxed structure of Sm3Zn4Cd4.

a = 3.689 Å, b = 4.698 Å, c = 14.751 Å
α = 80.90°, β = 82.82°, γ = 89.99°
Fractional positions:
Sm (0.000, 0.000, 0.000)
Sm (0.142, 0.642, 0.716)
Sm (0.858, 0.358, 0.284)
Zn (0.314, 0.815, 0.370)
Zn (0.457, 0.455, 0.090)
Zn (0.543, 0.545, 0.910)
Zn (0.686, 0.185, 0.630)
Cd (0.261, 0.261, 0.480)
Cd (0.407, 0.907, 0.185)
Cd (0.593, 0.093, 0.815)
Cd (0.739, 0.739, 0.520)

Values from the calculation:
Excess energy over the best structure of this formula in the dataset in eV/atom: 0.0000
SG: P-1, No. 2
Total moment in μB per atom: 0.000
Density in g cm⁻³: 7.708
ΔH_f (0 K) in kJ/mol of formula units: -304